Compound: RbB2F6
Source: the Alexandria database
Functional: PBE-GGA
Structure: optimized geometry

Calculated values
**Formation energy (no corrections)**: -22.3 eV per formula unit
**Theoretical density**: 2.3 g/cm³
**Magnetic moment**: 0.111 μB/atom

a = 11.4467 Å, b = 9.3700 Å, c = 6.9272 Å
α = 90.00°, β = 120.83°, γ = 90.00°
With the nearest neighbours (Å) after each atom.
Space group C2/c (No. 15)
Asymmetric unit:
Rb 0.0000 0.1968 0.2500 (multiplicity 4)  10 F 2.91-3.21
B 0.2244 0.4547 0.1587 (multiplicity 8)  3 F 1.36-1.38
F 0.1383 0.0752 0.7142 (multiplicity 8)  1 B 1.38
F 0.1400 0.3418 0.0549 (multiplicity 8)  1 B 1.36
F 0.1946 0.4211 0.5354 (multiplicity 8)  1 B 1.38